16
Lattice="6.392 0.000 0.000 0.000 6.392 0.000 0.000 0.000 6.392" Properties=species:S:1:pos:R:3 comment="TeP2W (SCAN, PBEsol geometry)" sg="No. 216" n_ef_per_ev_cell=8.50 e_form_raw_ev_per_atom=0.924 volume_a3_per_atom=16.32 pbc="T T T"
Te 0.000 0.000 0.000
Te 0.000 3.196 3.196
Te 3.196 0.000 3.196
Te 3.196 3.196 0.000
P 0.000 0.000 3.196
P 0.000 3.196 0.000
P 1.598 1.598 4.794
P 1.598 4.794 1.598
P 3.196 0.000 0.000
P 3.196 3.196 3.196
P 4.794 1.598 1.598
P 4.794 4.794 4.794
W 1.598 1.598 1.598
W 1.598 4.794 4.794
W 4.794 1.598 4.794
W 4.794 4.794 1.598



10
Lattice="6.039 0.000 0.000 0.000 6.039 0.000 0.000 0.000 4.516" Properties=species:S:1:pos:R:3 comment="Bi2B2Pt (SCAN, PBEsol geometry)" sg="No. 127" n_ef_per_ev_cell=3.54 volume_a3_per_atom=16.47 ef_ev_per_atom=0.785 pbc="T T T"
Bi 1.137 1.883 0.000
Bi 1.883 4.902 0.000
Bi 4.156 1.137 0.000
Bi 4.902 4.156 0.000
B 0.622 3.642 2.258
B 2.397 0.622 2.258
B 3.642 5.416 2.258
B 5.416 2.397 2.258
Pt 0.000 0.000 2.258
Pt 3.019 3.019 2.258



4
Lattice="2.821 0.000 0.000 0.000 2.821 0.000 0.000 0.000 7.807" Properties=species:S:1:pos:R:3 comment="Zn2HgOs (SCAN, PBEsol geometry)" sg="No. 99" n_ef_per_ev_cell=2.38 volume_a3_per_atom=15.54 ef_ev_per_atom=0.520 pbc="T T T"
Zn 0.000 0.000 0.000
Zn 1.411 1.411 1.803
Hg 0.000 0.000 3.971
Os 1.411 1.411 6.092



5
Lattice="4.714 0.000 0.000 0.000 4.714 0.000 0.000 0.000 3.951" Properties=species:S:1:pos:R:3 comment="LiSc2CrRh (SCAN, PBEsol geometry)" sg="No. 123" n_ef_per_ev_cell=2.64 volume_a3_per_atom=17.56 ef_ev_per_atom=0.336 pbc="T T T"
Li 0.000 0.000 0.000
Sc 0.000 2.357 0.000
Sc 2.357 0.000 0.000
Cr 2.357 2.357 1.976
Rh 0.000 0.000 1.976



6
Lattice="0.000 3.858 3.858 3.858 0.000 3.858 3.858 3.858 0.000" Properties=species:S:1:pos:R:3 comment="TlAs4Os (SCAN, PBEsol geometry)" sg="No. 216" n_ef_per_ev_cell=4.57 volume_a3_per_atom=19.14 ef_ev_per_atom=1.075 pbc="T T T"
Tl 0.000 0.000 0.000
As 2.885 2.885 2.885
As 4.831 4.831 2.885
As 4.831 2.885 4.831
As 2.885 4.831 4.831
Os 5.787 5.787 5.787



2
Lattice="2.583 0.000 0.000 0.000 2.583 0.000 0.000 0.000 2.583" Properties=species:S:1:pos:R:3 comment="BeNi (SCAN, PBEsol geometry)" sg="No. 221" n_ef_per_ev_cell=0.75 volume_a3_per_atom=8.61 ef_ev_per_atom=-0.569 pbc="T T T"
Be 0.000 0.000 0.000
Ni 1.291 1.291 1.291



16
Lattice="5.992 0.000 0.000 0.000 5.992 0.000 0.000 0.000 5.992" Properties=species:S:1:pos:R:3 comment="CaNi3 (SCAN, PBEsol geometry)" sg="No. 225" n_ef_per_ev_cell=8.92 volume_a3_per_atom=13.45 ef_ev_per_atom=0.355 pbc="T T T"
Ca 0.000 0.000 0.000
Ca 0.000 2.996 2.996
Ca 2.996 0.000 2.996
Ca 2.996 2.996 0.000
Ni 0.000 0.000 2.996
Ni 0.000 2.996 0.000
Ni 1.498 1.498 1.498
Ni 1.498 1.498 4.494
Ni 1.498 4.494 1.498
Ni 1.498 4.494 4.494
Ni 2.996 0.000 0.000
Ni 2.996 2.996 2.996
Ni 4.494 1.498 1.498
Ni 4.494 1.498 4.494
Ni 4.494 4.494 1.498
Ni 4.494 4.494 4.494



20
Lattice="6.891 0.000 0.000 0.000 4.815 0.000 0.000 0.000 4.916" Properties=species:S:1:pos:R:3 comment="Fe2O3 (SCAN, PBEsol geometry)" sg="No. 60" n_ef_per_ev_cell=3.40 e_form_raw_ev_per_atom=-1.478 volume_a3_per_atom=8.16 pbc="T T T"
Fe 0.724 1.201 0.188
Fe 0.724 3.614 2.646
Fe 2.722 1.207 2.646
Fe 2.722 3.609 0.188
Fe 4.169 1.207 4.728
Fe 4.169 3.609 2.270
Fe 6.167 1.201 2.270
Fe 6.167 3.614 4.728
O 0.000 2.136 3.687
O 0.000 2.680 1.229
O 1.074 0.524 1.977
O 1.074 4.291 4.435
O 2.371 1.883 4.435
O 2.371 2.932 1.977
O 3.445 0.272 1.229
O 3.445 4.543 3.687
O 4.520 1.883 2.939
O 4.520 2.932 0.481
O 5.816 0.524 0.481
O 5.816 4.291 2.939



4
Lattice="4.806 0.000 0.000 0.000 4.806 0.000 0.000 0.000 3.475" Properties=species:S:1:pos:R:3 comment="ZnTeAs2 (SCAN, PBEsol geometry)" relative_energy_mev_per_atom=327 sg="No. 123" n_ef_per_ev_cell=2.48 e_form_raw_ev_per_atom=0.447 volume_a3_per_atom=20.07 pbc="T T T"
Zn 0.000 0.000 0.000
Te 2.403 2.403 0.000
As 0.000 2.403 1.738
As 2.403 0.000 1.738



5
Lattice="4.130 0.000 0.000 0.000 4.130 0.000 0.000 0.000 4.483" Properties=species:S:1:pos:R:3 comment="LaFe2GeH (SCAN, PBEsol geometry)" sg="No. 123" dft_energy_ev_per_cell=-101.169 n_ef_per_ev_cell=2.78 volume_a3_per_atom=15.30 pbc="T T T"
La 0.000 0.000 0.000
Fe 0.000 2.065 2.241
Fe 2.065 0.000 2.241
Ge 2.065 2.065 0.000
H 0.000 0.000 2.241



10
Lattice="-2.780 2.780 3.980 2.780 -2.780 3.980 2.780 2.780 -3.980" Properties=species:S:1:pos:R:3 comment="Sr2NbGaO6 (SCAN, PBEsol geometry)" sg="No. 87" n_ef_per_ev_cell=0.00 e_form_raw_ev_per_atom=-2.918 volume_a3_per_atom=12.30 pbc="T T T"
Sr 2.780 0.000 1.990
Sr 0.000 2.780 1.990
Nb 0.000 0.000 0.000
Ga 0.000 0.000 3.980
O 1.599 1.193 0.000
O 0.000 0.000 1.996
O 1.587 -1.182 3.980
O 1.193 3.962 0.000
O 0.000 0.000 5.963
O 1.182 1.587 3.980



10
Lattice="3.922 0.000 0.000 0.000 3.922 0.000 0.000 0.000 11.738" Properties=species:S:1:pos:R:3 comment="Zn2Ga2Hg (SCAN, PBEsol geometry)" relative_energy_mev_per_atom=0 sg="No. 139" n_ef_per_ev_cell=3.97 volume_a3_per_atom=18.06 ef_ev_per_atom=0.122 pbc="T T T"
Zn 0.000 1.961 2.935
Zn 0.000 1.961 8.804
Zn 1.961 0.000 2.935
Zn 1.961 0.000 8.804
Ga 0.000 0.000 1.237
Ga 0.000 0.000 10.501
Ga 1.961 1.961 4.632
Ga 1.961 1.961 7.106
Hg 0.000 0.000 5.869
Hg 1.961 1.961 0.000